Record 1
Crystalline HoPaZnGe at its relaxed geometry, computed with PBE.

For the total magnetization, the calculation gives 0.217 μB/atom. Its formation energy is -0.25 eV/atom. The uncorrected energy is -5.240 eV/atom.

It has space group F-43m (No. 216), with a = 7.082 Å, b = 7.082 Å, c = 7.082 Å, α = 90.00°, β = 90.00° and γ = 90.00°. The distinct sites, in fractional coordinates, are Ho at (0.000, 0.000, 0.000), Pa at (0.000, 0.000, 0.500), Zn at (0.250, 0.250, 0.750) and Ge at (0.250, 0.250, 0.250).

***

Record 2
Crystalline HoGe2Pb at its relaxed geometry, computed with PBE.

For the total magnetization, the calculation gives 0.000 μB/atom. Its formation energy is -0.29 eV/atom. The uncorrected energy is -4.671 eV/atom.

It has space group P4/mmm (No. 123), with a = 4.688 Å, b = 4.688 Å, c = 4.202 Å, α = 90.00°, β = 90.00° and γ = 90.00°. The distinct sites, in fractional coordinates, are Ho at (0.000, 0.000, 0.000), Ge at (0.000, 0.500, 0.500) and Pb at (0.500, 0.500, 0.000).